Record 1
TlCrS2 after structural relaxation. Source: Alexandria, functional PBE-GGA.

Formation energy without anion corrections (eV/f.u.): -1.8

a = 6.983 Å, b = 6.983 Å, c = 8.193 Å
α = 90.00°, β = 90.00°, γ = 90.00°
Space group I-42d (No. 122)
Symmetry-distinct sites (fractional):
Tl  0.000  0.000  0.000
Cr  0.000  0.000  0.500
S  0.145  0.250  0.625

---

Record 2
Tl2CrS after structural relaxation. Source: Alexandria, functional PBE-GGA.

Formation energy without anion corrections (eV/f.u.): 1.3

a = 8.157 Å, b = 8.157 Å, c = 5.989 Å
α = 90.00°, β = 90.00°, γ = 90.00°
Space group I-42d (No. 122)
Symmetry-distinct sites (fractional):
Tl  0.237  0.250  0.125
Cr  0.000  0.000  0.500
S  0.000  0.000  0.000

---

Record 3
Tl3CrS3 after structural relaxation. Source: Alexandria, functional PBE-GGA.

Formation energy without anion corrections (eV/f.u.): -3.2

a = 8.321 Å, b = 3.761 Å, c = 11.200 Å
α = 90.00°, β = 90.73°, γ = 90.00°
Space group P2_1/m (No. 11)
Symmetry-distinct sites (fractional):
Tl  0.114  0.250  0.358
Tl  0.143  0.250  0.868
Tl  0.347  0.750  0.122
Cr  0.391  0.750  0.611
S  0.195  0.250  0.607
S  0.401  0.750  0.832
S  0.419  0.750  0.398

---

Record 4
Tl3CrS after structural relaxation. Source: Alexandria, functional PBE-GGA.

Formation energy without anion corrections (eV/f.u.): 3.3

a = 5.627 Å, b = 5.627 Å, c = 5.627 Å
α = 90.00°, β = 90.00°, γ = 90.00°
Space group Pm-3m (No. 221)
Symmetry-distinct sites (fractional):
Tl  0.000  0.000  0.500
Cr  0.500  0.500  0.500
S  0.000  0.000  0.000

---

Record 5
Tm2Tl3CrS6 after structural relaxation. Source: Alexandria, functional PBE-GGA.

Formation energy without anion corrections (eV/f.u.): -13.7

a = 6.670 Å, b = 11.543 Å, c = 7.817 Å
α = 90.00°, β = 106.46°, γ = 90.00°
Space group C2/m (No. 12)
Symmetry-distinct sites (fractional):
Tm  0.000  0.166  0.000
Tl  0.000  0.000  0.500
Tl  0.000  0.327  0.500
Cr  0.000  0.500  0.000
S  0.216  0.346  0.186
S  0.244  0.500  0.806

---

Record 6
U2Tl2CrS6 after structural relaxation. Source: Alexandria, functional PBE-GGA.

Formation energy without anion corrections (eV/f.u.): -10.5

a = 6.683 Å, b = 11.533 Å, c = 7.963 Å
α = 90.00°, β = 106.24°, γ = 90.00°
Space group C2/m (No. 12)
Symmetry-distinct sites (fractional):
U  0.000  0.167  0.000
Tl  0.000  0.333  0.500
Cr  0.000  0.500  0.000
S  0.225  0.339  0.191
S  0.248  0.500  0.816

---

Record 7
UTlCr4S8 after structural relaxation. Source: Alexandria, functional PBE-GGA.

Formation energy without anion corrections (eV/f.u.): -8.4

a = 6.7859 Å, b = 6.7859 Å, c = 19.6970 Å
α = 90.00°, β = 90.00°, γ = 120.00°
Space group R3m (No. 160, hexagonal axes)
Symmetry-distinct sites (fractional):
U  0.0000  0.0000  0.0000
Tl  0.0000  0.0000  0.3341
Cr  0.0000  0.0000  0.6219
Cr  0.0511  0.5256  0.4879
S  0.0000  0.0000  0.1994
S  0.0000  0.0000  0.7411
S  0.0077  0.5039  0.7615
S  0.1741  0.3483  0.5658

---

Record 8
UTlCrS4 after structural relaxation. Source: Alexandria, functional PBE-GGA.

Formation energy without anion corrections (eV/f.u.): -6.0

a = 7.445 Å, b = 8.870 Å, c = 10.143 Å
α = 90.00°, β = 90.00°, γ = 90.00°
Space group Imma (No. 74)
Symmetry-distinct sites (fractional):
U  0.000  0.000  0.000
Tl  0.000  0.250  0.313
Cr  0.250  0.250  0.750
S  0.000  0.075  0.743
S  0.223  0.250  0.991

---

Record 9
UTl2CrS6 after structural relaxation. Source: Alexandria, functional PBE-GGA.

Formation energy without anion corrections (eV/f.u.): -6.3

a = 9.800 Å, b = 9.800 Å, c = 9.800 Å
α = 90.00°, β = 90.00°, γ = 90.00°
Space group Fm-3m (No. 225)
Symmetry-distinct sites (fractional):
U  0.000  0.000  0.000
Tl  0.250  0.250  0.250
Cr  0.000  0.000  0.500
S  0.000  0.000  0.259

---

Record 10
Tl2VCr2S6 after structural relaxation. Source: Alexandria, functional PBE-GGA.

Formation energy without anion corrections (eV/f.u.): -7.1

a = 6.078 Å, b = 10.549 Å, c = 7.722 Å
α = 90.00°, β = 105.27°, γ = 90.00°
Space group C2/m (No. 12)
Symmetry-distinct sites (fractional):
Tl  0.000  0.166  0.000
V  0.000  0.000  0.500
Cr  0.000  0.332  0.500
S  0.225  0.500  0.675
S  0.226  0.166  0.676

---

Record 11
Tl2V9CrS16 after structural relaxation. Source: Alexandria, functional PBE-GGA.

Formation energy without anion corrections (eV/f.u.): -24.6

a = 8.565 Å, b = 3.292 Å, c = 17.427 Å
α = 90.00°, β = 103.89°, γ = 90.00°
Space group P2/m (No. 10)
Symmetry-distinct sites (fractional):
Tl  0.000  0.000  0.000
Tl  0.500  0.500  0.500
V  0.000  0.000  0.500
V  0.146  0.500  0.290
V  0.151  0.500  0.647
V  0.346  0.000  0.850
V  0.354  0.000  0.210
Cr  0.500  0.500  0.000
S  0.081  0.000  0.740
S  0.106  0.500  0.427
S  0.163  0.500  0.160
S  0.238  0.500  0.915
S  0.265  0.000  0.585
S  0.338  0.000  0.339
S  0.398  0.000  0.072
S  0.419  0.500  0.758

---

Record 12
TlVCr4S8 after structural relaxation. Source: Alexandria, functional PBE-GGA.

Formation energy without anion corrections (eV/f.u.): -10.0

a = 18.015 Å, b = 3.478 Å, c = 8.686 Å
α = 90.00°, β = 105.07°, γ = 90.00°
Space group Cm (No. 8)
Symmetry-distinct sites (fractional):
Tl  0.000  0.000  0.000
V  0.151  0.000  0.478
Cr  0.202  0.000  0.840
Cr  0.293  0.500  0.174
Cr  0.338  0.500  0.535
Cr  0.497  0.000  0.509
S  0.071  0.000  0.663
S  0.079  0.500  0.327
S  0.169  0.500  0.995
S  0.234  0.500  0.665
S  0.258  0.000  0.354
S  0.325  0.000  0.021
S  0.411  0.000  0.680
S  0.419  0.500  0.360

---

Record 13
Tl2V2CrS6 after structural relaxation. Source: Alexandria, functional PBE-GGA.

Formation energy without anion corrections (eV/f.u.): -7.6

a = 6.124 Å, b = 10.397 Å, c = 7.750 Å
α = 90.00°, β = 103.92°, γ = 90.00°
Space group C2/m (No. 12)
Symmetry-distinct sites (fractional):
Tl  0.000  0.175  0.000
V  0.000  0.345  0.500
Cr  0.000  0.000  0.500
S  0.219  0.168  0.671
S  0.229  0.500  0.685

---

Record 14
Tl2Cr2WS6 after structural relaxation. Source: Alexandria, functional PBE-GGA.

Formation energy without anion corrections (eV/f.u.): -5.3

a = 5.533 Å, b = 9.924 Å, c = 8.520 Å
α = 90.00°, β = 97.52°, γ = 90.00°
Space group C2/m (No. 12)
Symmetry-distinct sites (fractional):
Tl  0.000  0.164  0.000
Cr  0.000  0.363  0.500
W  0.000  0.000  0.500
S  0.195  0.500  0.685
S  0.202  0.177  0.662

---

Record 15
Y2Tl3CrS6 after structural relaxation. Source: Alexandria, functional PBE-GGA.

Formation energy without anion corrections (eV/f.u.): -13.7

a = 6.743 Å, b = 11.668 Å, c = 7.813 Å
α = 90.00°, β = 106.63°, γ = 90.00°
Space group C2/m (No. 12)
Symmetry-distinct sites (fractional):
Y  0.000  0.166  0.000
Tl  0.000  0.000  0.500
Tl  0.000  0.326  0.500
Cr  0.000  0.500  0.000
S  0.215  0.348  0.188
S  0.240  0.500  0.804

---

Record 16
Y3Tl4CrS8 after structural relaxation. Source: Alexandria, functional PBE-GGA.

Formation energy without anion corrections (eV/f.u.): -19.4

a = 7.8650 Å, b = 7.8650 Å, c = 22.5285 Å
α = 90.00°, β = 90.00°, γ = 120.00°
Space group R-3m (No. 166, hexagonal axes)
Symmetry-distinct sites (fractional):
Y  0.0000  0.5000  0.0000
Tl  0.0000  0.0000  0.5000
Tl  0.0000  0.5000  0.5000
Cr  0.0000  0.0000  0.0000
S  0.0000  0.0000  0.2661
S  0.0243  0.5122  0.7297

---

Record 17
Tl3ZnCr2S6 after structural relaxation. Source: Alexandria, functional PBE-GGA.

Formation energy without anion corrections (eV/f.u.): -5.9

a = 6.360 Å, b = 11.027 Å, c = 7.441 Å
α = 90.00°, β = 106.38°, γ = 90.00°
Space group C2/m (No. 12)
Symmetry-distinct sites (fractional):
Tl  0.000  0.000  0.000
Tl  0.000  0.338  0.000
Zn  0.000  0.500  0.500
Cr  0.000  0.167  0.500
S  0.212  0.000  0.671
S  0.235  0.325  0.680

---

Record 18
Zr3Tl3CrS8 after structural relaxation. Source: Alexandria, functional PBE-GGA.

Formation energy without anion corrections (eV/f.u.): -16.0

a = 7.2615 Å, b = 7.2615 Å, c = 24.0376 Å
α = 90.00°, β = 90.00°, γ = 120.00°
Space group R-3m (No. 166, hexagonal axes)
Symmetry-distinct sites (fractional):
Zr  0.0000  0.5000  0.0000
Tl  0.0000  0.5000  0.5000
Cr  0.0000  0.0000  0.0000
S  0.0000  0.0000  0.2701
S  0.0157  0.5078  0.7272

---

Record 19
Zr2Tl2CrS6 after structural relaxation. Source: Alexandria, functional PBE-GGA.

Formation energy without anion corrections (eV/f.u.): -11.6

a = 6.282 Å, b = 10.860 Å, c = 8.073 Å
α = 90.00°, β = 105.95°, γ = 90.00°
Space group C2/m (No. 12)
Symmetry-distinct sites (fractional):
Zr  0.000  0.168  0.000
Tl  0.000  0.329  0.500
Cr  0.000  0.500  0.000
S  0.227  0.342  0.188
S  0.250  0.000  0.186

---

Record 20
Zr2Tl3CrS6 after structural relaxation. Source: Alexandria, functional PBE-GGA.

Formation energy without anion corrections (eV/f.u.): -11.6

a = 6.223 Å, b = 10.777 Å, c = 8.302 Å
α = 90.00°, β = 90.18°, γ = 90.00°
Space group C2/m (No. 12)
Symmetry-distinct sites (fractional):
Zr  0.000  0.167  0.000
Tl  0.000  0.167  0.500
Tl  0.000  0.500  0.500
Cr  0.000  0.500  0.000
S  0.158  0.341  0.824
S  0.182  0.000  0.824